# GGA-PBE HoThTlCu, optimized geometry
# DFT total energy: -18.8 eV per cell
# Space-group type: F-43m, No. 216
# DFT formation energy: -0.09 eV per atom
data_HoThTlCu
_symmetry_space_group_name_H-M 'P 1'
_symmetry_Int_Tables_number 1
_cell_length_a 5.260
_cell_length_b 5.260
_cell_length_c 5.260
_cell_angle_alpha 60.00
_cell_angle_beta 60.00
_cell_angle_gamma 60.00
loop_
_symmetry_equiv_pos_as_xyz
'x,y,z'
loop_
_atom_site_label
_atom_site_fract_x
_atom_site_fract_y
_atom_site_fract_z
_atom_site_occupancy
Ho1 0.000 0.000 0.000 1
Th1 0.500 0.500 0.500 1
Tl1 0.250 0.250 0.250 1
Cu1 0.750 0.750 0.750 1

---

# GGA-PBE BPt2F, optimized geometry
# DFT total energy: -20.3 eV per cell
# Distance to the lowest polymorph of the same formula: 0.278 eV per atom
# Space-group type: Fm-3m, No. 225
# Formation energy from raw total energies: 0.30 eV per formula unit
data_BPt2F
_symmetry_space_group_name_H-M 'P 1'
_symmetry_Int_Tables_number 1
_cell_length_a 4.023
_cell_length_b 4.023
_cell_length_c 4.023
_cell_angle_alpha 60.00
_cell_angle_beta 60.00
_cell_angle_gamma 60.00
loop_
_symmetry_equiv_pos_as_xyz
'x,y,z'
loop_
_atom_site_label
_atom_site_fract_x
_atom_site_fract_y
_atom_site_fract_z
_atom_site_occupancy
B1 0.000 0.000 0.000 1
Pt1 0.250 0.250 0.250 1
Pt2 0.750 0.750 0.750 1
F1 0.500 0.500 0.500 1

---

# GGA-PBE Ce2TiCuS5, optimized geometry
# DFT total energy: -116.8 eV per cell
# Space-group type: Cmc2_1, No. 36
# Formation energy from raw total energies: -13.89 eV per formula unit
data_Ce2TiCuS5
_symmetry_space_group_name_H-M 'P 1'
_symmetry_Int_Tables_number 1
_cell_length_a 8.395
_cell_length_b 8.395
_cell_length_c 11.311
_cell_angle_alpha 90.00
_cell_angle_beta 90.00
_cell_angle_gamma 153.84
loop_
_symmetry_equiv_pos_as_xyz
'x,y,z'
loop_
_atom_site_label
_atom_site_fract_x
_atom_site_fract_y
_atom_site_fract_z
_atom_site_occupancy
Ce1 0.115 0.885 0.500 1
Ce2 0.129 0.871 0.116 1
Ce3 0.871 0.129 0.616 1
Ce4 0.885 0.115 0.000 1
Ti1 0.193 0.807 0.819 1
Ti2 0.807 0.193 0.319 1
Cu1 0.434 0.566 0.254 1
Cu2 0.566 0.434 0.754 1
S1 0.050 0.950 0.861 1
S2 0.291 0.709 0.467 1
S3 0.305 0.695 0.167 1
S4 0.350 0.650 0.812 1
S5 0.497 0.503 0.580 1
S6 0.503 0.497 0.080 1
S7 0.650 0.350 0.312 1
S8 0.695 0.305 0.667 1
S9 0.709 0.291 0.967 1
S10 0.950 0.050 0.361 1

---

# GGA-PBE LiAcAs, optimized geometry
# DFT total energy: -12.2 eV per cell
# Distance to the lowest polymorph of the same formula: 0.495 eV per atom
# Space-group type: I4mm, No. 107
# DFT formation energy: -0.50 eV per atom
data_LiAcAs
_symmetry_space_group_name_H-M 'P 1'
_symmetry_Int_Tables_number 1
_cell_length_a 5.742
_cell_length_b 5.742
_cell_length_c 5.742
_cell_angle_alpha 139.70
_cell_angle_beta 139.70
_cell_angle_gamma 58.32
loop_
_symmetry_equiv_pos_as_xyz
'x,y,z'
loop_
_atom_site_label
_atom_site_fract_x
_atom_site_fract_y
_atom_site_fract_z
_atom_site_occupancy
Li1 0.000 0.000 0.000 1
Ac1 0.712 0.712 0.000 1
As1 0.387 0.387 0.000 1

---

# GGA-PBE LiAs2Cl, optimized geometry
# DFT total energy: -13.6 eV per cell
# Distance to the lowest polymorph of the same formula: 0.692 eV per atom
# Space-group type: F-43m, No. 216
# Formation energy from raw total energies: -0.52 eV per formula unit
data_LiAs2Cl
_symmetry_space_group_name_H-M 'P 1'
_symmetry_Int_Tables_number 1
_cell_length_a 4.788
_cell_length_b 4.788
_cell_length_c 4.788
_cell_angle_alpha 60.00
_cell_angle_beta 60.00
_cell_angle_gamma 60.00
loop_
_symmetry_equiv_pos_as_xyz
'x,y,z'
loop_
_atom_site_label
_atom_site_fract_x
_atom_site_fract_y
_atom_site_fract_z
_atom_site_occupancy
Li1 0.000 0.000 0.000 1
As1 0.500 0.500 0.500 1
As2 0.750 0.750 0.750 1
Cl1 0.250 0.250 0.250 1

---

# GGA-PBE TbPr3Dy4, optimized geometry
# DFT total energy: -74.3 eV per cell
# Distance to the lowest polymorph of the same formula: 0.000 eV per atom
# Space-group type: Pmn2_1, No. 31
# DFT formation energy: 0.03 eV per atom
data_TbPr3Dy4
_symmetry_space_group_name_H-M 'P 1'
_symmetry_Int_Tables_number 1
_cell_length_a 11.585
_cell_length_b 7.345
_cell_length_c 6.324
_cell_angle_alpha 90.00
_cell_angle_beta 90.00
_cell_angle_gamma 90.00
loop_
_symmetry_equiv_pos_as_xyz
'x,y,z'
loop_
_atom_site_label
_atom_site_fract_x
_atom_site_fract_y
_atom_site_fract_z
_atom_site_occupancy
Tb1 0.000 0.130 0.000 1
Tb2 0.500 0.870 0.500 1
Pr1 0.000 0.872 0.500 1
Pr2 0.250 0.127 0.336 1
Pr3 0.250 0.873 0.836 1
Pr4 0.500 0.128 0.000 1
Pr5 0.750 0.127 0.336 1
Pr6 0.750 0.873 0.836 1
Dy1 0.000 0.378 0.502 1
Dy2 0.000 0.621 0.001 1
Dy3 0.248 0.379 0.835 1
Dy4 0.252 0.621 0.335 1
Dy5 0.500 0.379 0.501 1
Dy6 0.500 0.622 0.002 1
Dy7 0.748 0.621 0.335 1
Dy8 0.752 0.379 0.835 1